*P*
Entry from Alexandria via LeMat-Bulk: Ba5Sr2Ca2 after structural relaxation (PBE).

The structure in CIF format:
```
data_Ba5Sr2Ca2
_chemical_formula_sum 'Ba10 Sr4 Ca4'
_space_group_name_H-M_alt 'C 1 2/m 1'
_space_group_IT_number 12
_cell_length_a 11.784
_cell_length_b 6.800
_cell_length_c 12.473
_cell_angle_alpha 90.00
_cell_angle_beta 90.15
_cell_angle_gamma 90.00
loop_
_space_group_symop_operation_xyz
'x,y,z'
'-x,-y,-z'
'-x,y,-z'
'x,-y,z'
'x+1/2,y+1/2,z'
'-x+1/2,-y+1/2,-z'
'-x+1/2,y+1/2,-z'
'x+1/2,-y+1/2,z'
loop_
_atom_site_label
_atom_site_fract_x
_atom_site_fract_y
_atom_site_fract_z
Ba1 0.000 0.000 0.000
Ba2 0.001 0.000 0.341
Ba3 0.168 0.500 0.232
Sr1 0.166 0.500 0.883
Ca1 0.166 0.500 0.554
```

Output
magnetization: 0.0 μB/cell
volume: 1000 Å³ per cell

*Q*
Entry from Alexandria via LeMat-Bulk: Ba5Sr2Ca2 after structural relaxation (PBE).

The structure in CIF format:
```
data_Ba5Sr2Ca2
_chemical_formula_sum 'Ba20 Sr8 Ca8'
_space_group_name_H-M_alt 'I m a 2'
_space_group_IT_number 46
_cell_length_a 17.722
_cell_length_b 12.505
_cell_length_c 9.522
_cell_angle_alpha 90.00
_cell_angle_beta 90.00
_cell_angle_gamma 90.00
loop_
_space_group_symop_operation_xyz
'x,y,z'
'-x,-y,z'
'-x+1/2,y,z'
'x+1/2,-y,z'
'x+1/2,y+1/2,z+1/2'
'-x+1/2,-y+1/2,z+1/2'
'-x,y+1/2,z+1/2'
'x,-y+1/2,z+1/2'
loop_
_atom_site_label
_atom_site_fract_x
_atom_site_fract_y
_atom_site_fract_z
Ba1 0.047 0.184 0.000
Ba2 0.145 0.716 0.799
Ba3 0.250 0.183 0.309
Sr1 0.127 0.011 0.649
Ca1 0.000 0.000 0.322
Ca2 0.250 0.526 0.497
```

Output
magnetization: 0.1 μB/cell
volume: 2110 Å³ per cell

Which of the structures shown above is the most stable? The most stable is *P*.